Record 1
Density functional theory data (PBE-GGA) for crystalline Al7Se6 at its relaxed geometry.

Values from the calculation:
Uncorrected formation energy: -0.2105 eV/atom
DOS(E_F): 1.96 states/eV/f.u.

a = 5.7997 Å, b = 5.7997 Å, c = 29.6157 Å
α = 90.00°, β = 90.00°, γ = 120.00°
Closest atoms and distances in Å follow each position.
Space group R-3m (No. 166, hexagonal axes)
Unique sites:
Al1 0.0000 0.0000 0.0000 [3 per cell]  6 Al 3.26, 6 Se 3.50
Al2 0.0179 0.5089 0.5704 [18 per cell]  3 Se 2.54-2.82, 2 Al 2.74
Se1 0.0000 0.0000 0.1752 [6 per cell]  6 Al 2.54-2.82
Se2 0.0000 0.0000 0.2991 [6 per cell]  3 Al 2.55
Se3 0.0000 0.0000 0.4284 [6 per cell]  6 Al 2.90

***

Record 2
Density functional theory data (PBE-GGA) for crystalline Y3Be2Ni7 at its relaxed geometry.

Values from the calculation:
Energy relative to the elements: -0.451 eV/atom
DOS(E_F): 5.58 states/eV/f.u.

a = 5.0614 Å, b = 5.0614 Å, c = 22.6742 Å
α = 90.00°, β = 90.00°, γ = 120.00°
Closest atoms and distances in Å follow each position.
Space group R-3m (No. 166, hexagonal axes)
Unique sites:
Y1 0.0000 0.0000 0.0000 [3 per cell]  6 Be 2.92, 12 Ni 3.05, 2 Y 3.19
Y2 0.0000 0.0000 0.1407 [6 per cell]  12 Ni 2.93-3.04, 4 Y 3.15-3.19
Be1 0.0000 0.0000 0.3328 [6 per cell]  6 Ni 2.24-2.25
Ni1 0.0000 0.0000 0.5000 [3 per cell]  6 Ni 2.53
Ni2 0.0019 0.5009 0.0752 [18 per cell]  2 Be 2.24-2.25

***

Record 3
Density functional theory data (PBE-GGA) for crystalline PrHoRh2 at its relaxed geometry.

Values from the calculation:
Energy relative to the elements: -0.728 eV/atom
DOS(E_F): 3.10 states/eV/f.u.

a = 3.4427 Å, b = 3.4427 Å, c = 7.1753 Å
α = 90.00°, β = 90.00°, γ = 90.00°
Closest atoms and distances in Å follow each position.
Space group P4/mmm (No. 123)
Unique sites:
Pr1 0.0000 0.0000 0.0000 [1 per cell]  8 Rh 3.10, 4 Pr 3.44
Ho1 0.0000 0.0000 0.5000 [1 per cell]  8 Rh 2.95
Rh1 0.5000 0.5000 0.2681 [2 per cell]  4 Ho 2.95, 4 Pr 3.10

***

Number 1: theoretical density 3.83 Mg/m³, volume 22.12 Å³ per atom. Number 2: theoretical density 6.89 Mg/m³, volume 13.97 Å³ per atom. Number 3: theoretical density 9.99 Mg/m³, volume 21.26 Å³ per atom.